VASP calculation (PBE-GGA) on a relaxed HfBOF2 crystal.

M_tot: 0.191 μB/atom
Formation energy from raw total energies: -1.64 eV per atom
Energy above the lowest structure with this stoichiometry: 0 meV/atom

Cell: 4.1949 4.1949 4.0195 Å, 90.00 90.00 90.00°
Space group P4/mmm (No. 123)
One atom of each set of equivalent atoms:
1 Hf 0.0000 0.0000 0.0000 [1 per cell]
2 B 0.5000 0.5000 0.5000 [1 per cell]
3 O 0.0000 0.0000 0.5000 [1 per cell]
4 F 0.0000 0.5000 0.0000 [2 per cell]


VASP calculation (PBE-GGA) on a relaxed Hf2TcBF crystal.

M_tot: 0.000 μB/atom
Formation energy from raw total energies: 0.29 eV per atom

Cell: 4.9704 4.9704 4.0542 Å, 90.00 90.00 90.00°
Space group P4/mmm (No. 123)
One atom of each set of equivalent atoms:
1 Hf 0.0000 0.5000 0.0000 [2 per cell]
2 Tc 0.0000 0.0000 0.0000 [1 per cell]
3 B 0.0000 0.0000 0.5000 [1 per cell]
4 F 0.5000 0.5000 0.5000 [1 per cell]


VASP calculation (PBE-GGA) on a relaxed Hf2TiBF crystal.

M_tot: 0.000 μB/atom
Formation energy from raw total energies: 0.74 eV per atom

Cell: 4.8918 4.8918 4.0726 Å, 90.00 90.00 90.00°
Space group P4/mmm (No. 123)
One atom of each set of equivalent atoms:
1 Hf 0.0000 0.5000 0.0000 [2 per cell]
2 Ti 0.0000 0.0000 0.0000 [1 per cell]
3 B 0.0000 0.0000 0.5000 [1 per cell]
4 F 0.5000 0.5000 0.5000 [1 per cell]


VASP calculation (PBE-GGA) on a relaxed Hg3BF4 crystal.

M_tot: 0.000 μB/atom
Formation energy from raw total energies: -1.77 eV per atom

Cell: 7.8426 9.9087 4.5927 Å, 90.00 90.00 90.00°
Space group Imm2 (No. 44)
One atom of each set of equivalent atoms:
1 Hg 0.0000 0.0000 0.0000 [2 per cell]
2 Hg 0.0000 0.1850 0.4979 [4 per cell]
3 B 0.0000 0.5000 0.1365 [2 per cell]
4 F 0.0000 0.3821 0.9617 [4 per cell]
5 F 0.1477 0.5000 0.3159 [4 per cell]


VASP calculation (PBE-GGA) on a relaxed Hg2BF4 crystal.

M_tot: 0.000 μB/atom
Formation energy from raw total energies: -2.04 eV per atom
Energy above the lowest structure with this stoichiometry: 0 meV/atom

Cell: 9.9790 5.4769 7.2133 Å, 90.00 131.98 90.00°
Space group Cm (No. 8)
One atom of each set of equivalent atoms:
1 Hg 0.0000 0.2498 0.0000 [4 per cell]
2 B 0.0509 0.0000 0.5504 [2 per cell]
3 F 0.0870 0.2112 0.6914 [4 per cell]
4 F 0.1675 0.0000 0.5004 [2 per cell]
5 F 0.3696 0.5000 0.3217 [2 per cell]


VASP calculation (PBE-GGA) on a relaxed Hg2BF4 crystal.

M_tot: 0.000 μB/atom
Formation energy from raw total energies: -1.96 eV per atom
Energy above the lowest structure with this stoichiometry: 81 meV/atom

Cell: 4.2057 4.2057 13.0376 Å, 90.00 90.00 90.00°
Space group I-42m (No. 121)
One atom of each set of equivalent atoms:
1 Hg 0.0000 0.5000 0.2500 [4 per cell]
2 B 0.0000 0.0000 0.0000 [2 per cell]
3 F 0.1934 0.1934 0.0638 [8 per cell]


VASP calculation (PBE-GGA) on a relaxed HgB2F6 crystal.

M_tot: 0.000 μB/atom
Formation energy from raw total energies: -2.45 eV per atom

Cell: 14.2334 10.5329 4.9871 Å, 90.00 110.37 90.00°
Space group C2/c (No. 15)
One atom of each set of equivalent atoms:
1 Hg 0.0000 0.0966 0.2500 [4 per cell]
2 B 0.1605 0.3750 0.1426 [8 per cell]
3 F 0.1112 0.3094 0.9101 [8 per cell]
4 F 0.1132 0.4196 0.3119 [8 per cell]
5 F 0.2413 0.1067 0.7825 [8 per cell]


VASP calculation (PBE-GGA) on a relaxed HgB2F8 crystal.

M_tot: 0.000 μB/atom
Formation energy from raw total energies: -2.43 eV per atom
Energy above the lowest structure with this stoichiometry: 32 meV/atom

Cell: 9.6258 5.3587 5.6450 Å, 90.00 106.92 90.00°
Space group C2/m (No. 12)
One atom of each set of equivalent atoms:
1 Hg 0.0000 0.0000 0.0000 [2 per cell]
2 B 0.2014 0.0000 0.6890 [4 per cell]
3 F 0.1339 0.2113 0.7717 [8 per cell]
4 F 0.1500 0.5000 0.2040 [4 per cell]
5 F 0.1660 0.0000 0.4287 [4 per cell]


VASP calculation (PBE-GGA) on a relaxed HgB3F12 crystal.

M_tot: 0.075 μB/atom
Formation energy from raw total energies: -2.35 eV per atom

Cell: 8.2044 8.2044 24.6860 Å, 90.00 90.00 120.00°
Space group R3c (No. 161, hexagonal axes)
One atom of each set of equivalent atoms:
1 Hg 0.0000 0.0000 0.0000 [6 per cell]
2 B 0.0400 0.3573 0.0602 [18 per cell]
3 F 0.1472 0.3882 0.0130 [18 per cell]
4 F 0.1621 0.4128 0.1066 [18 per cell]
5 F 0.1766 0.4239 0.7313 [18 per cell]
6 F 0.1783 0.3941 0.3917 [18 per cell]


VASP calculation (PBE-GGA) on a relaxed HgBF3 crystal.

M_tot: 0.000 μB/atom
Formation energy from raw total energies: -0.18 eV per atom
Energy above the lowest structure with this stoichiometry: 2030 meV/atom

Cell: 4.5381 4.5381 4.5381 Å, 90.00 90.00 90.00°
Space group Pm-3m (No. 221)
One atom of each set of equivalent atoms:
1 Hg 0.0000 0.0000 0.0000 [1 per cell]
2 B 0.5000 0.5000 0.5000 [1 per cell]
3 F 0.0000 0.0000 0.5000 [3 per cell]


VASP calculation (PBE-GGA) on a relaxed HgBF3 crystal.

M_tot: 0.000 μB/atom
Formation energy from raw total energies: -0.62 eV per atom
Energy above the lowest structure with this stoichiometry: 1588 meV/atom

Cell: 3.9016 3.9016 3.9016 Å, 90.00 90.00 90.00°
Space group Pm-3m (No. 221)
One atom of each set of equivalent atoms:
1 Hg 0.0000 0.0000 0.0000 [1 per cell]
2 B 0.5000 0.5000 0.5000 [1 per cell]
3 F 0.0000 0.5000 0.5000 [3 per cell]


VASP calculation (PBE-GGA) on a relaxed Hg2BF3 crystal.

M_tot: 0.000 μB/atom
Formation energy from raw total energies: -1.81 eV per atom

Cell: 8.2035 10.6524 7.7889 Å, 90.00 96.30 90.00°
Space group C2/c (No. 15)
One atom of each set of equivalent atoms:
1 Hg 0.0947 0.1350 0.4562 [8 per cell]
2 B 0.0000 0.4938 0.2500 [4 per cell]
3 F 0.0000 0.3818 0.7500 [4 per cell]
4 F 0.0943 0.4311 0.1511 [8 per cell]